Arrangement one

5
Lattice="6.2325 0.0000 0.0000 0.0000 6.2325 0.0000 0.0000 0.0000 4.2968" Properties=species:S:1:pos:R:3 comment="PBE KSiI2O, relaxed" sg=P4/mmm pbc="T T T"
K 0.0000 0.0000 0.0000
Si 3.1163 3.1163 2.1484
I 0.0000 3.1163 0.0000
I 3.1163 0.0000 0.0000
O 0.0000 0.0000 2.1484

Arrangement two

5
Lattice="6.0189 0.0000 0.0000 0.0000 6.0189 0.0000 0.0000 0.0000 3.6374" Properties=species:S:1:pos:R:3 comment="PBE KSiI2O, relaxed" sg=P4/mmm pbc="T T T"
K 0.0000 0.0000 0.0000
Si 3.0094 3.0094 1.8187
I 0.0000 3.0094 1.8187
I 3.0094 0.0000 1.8187
O 3.0094 3.0094 0.0000

Taking the most stable structure as the zero point, the relative energies in eV/atom are arrangement one 1.540; arrangement two 0.000.